PuThCd PBE-GGA optimized geometry; formation enthalpy at 0 K = 87 meV/atom; calculated volume = 83 Å³ per cell; VASP energy = -7.468 eV/atom; space-group type = I4mm, No. 107; D(E_F) = 3.24 states/eV/atom
1.0
-1.9249 1.9249 5.6324
1.9249 -1.9249 5.6324
1.9249 1.9249 -5.6324
Pu Th Cd
1 1 1
Cartesian
0.0000 0.0000 0.0000
0.0000 0.0000 7.5629
0.0000 0.0000 3.8385